1.
A plane-wave DFT calculation with PBE-GGA was carried out for an optimized crystal structure of TmPu2Tl9.

Unit cell a=4.7735 b=4.7735 c=14.3076 alpha=90.00 beta=90.00 gamma=90.00
Site moments in Bohr magnetons follow the coordinates.
Element x y z (fractional)
1 Tm 0.0000 0.0000 0.0000  -0.03
2 Pu 0.0000 0.0000 0.3304  5.44
3 Pu 0.0000 0.0000 0.6696  5.44
4 Tl 0.5000 0.5000 0.0000  -0.01
5 Tl 0.5000 0.5000 0.3349  0.01
6 Tl 0.5000 0.5000 0.6651  0.01
7 Tl 0.5000 0.0000 0.1643  -0.01
8 Tl 0.5000 0.0000 0.5000  0.00
9 Tl 0.5000 0.0000 0.8357  -0.01
10 Tl 0.0000 0.5000 0.1643  -0.01
11 Tl 0.0000 0.5000 0.5000  0.00
12 Tl 0.0000 0.5000 0.8357  -0.01

Properties
ρ	12.7	g/cm³
DFT total energy	-4.618	eV per atom
total magnetic moment	11.377	μB/cell
Fermi-level density of states	29.88	states/eV/cell

2.
A plane-wave DFT calculation with PBE-GGA was carried out for an optimized crystal structure of YTmPuTl.

Unit cell a=5.4330 b=5.4330 c=5.4330 alpha=60.00 beta=60.00 gamma=60.00
Site moments in Bohr magnetons follow the coordinates.
Element x y z (fractional)
1 Y 0.7500 0.7500 0.7500  0.20
2 Tl 0.5000 0.5000 0.5000  -0.03
3 Tm 0.0000 0.0000 0.0000  0.45
4 Pu 0.2500 0.2500 0.2500  5.56

Properties
ρ	10.3	g/cm³
DFT total energy	-6.857	eV per atom
total magnetic moment	6.756	μB/cell
Fermi-level density of states	8.65	states/eV/cell

3.
A plane-wave DFT calculation with PBE-GGA was carried out for an optimized crystal structure of Pu2UTl.

Unit cell a=3.6946 b=3.6946 c=9.5191 alpha=78.81 beta=78.81 gamma=60.00
Site moments in Bohr magnetons follow the coordinates.
Element x y z (fractional)
1 Tl 0.0000 0.0000 0.0000  0.02
2 U 0.5000 0.5000 0.5000  -0.37
3 Pu 0.1140 0.1140 0.6579  4.29
4 Pu 0.8860 0.8860 0.3421  4.29

Properties
ρ	14.1	g/cm³
DFT total energy	-10.017	eV per atom
total magnetic moment	8.436	μB/cell
Fermi-level density of states	11.26	states/eV/cell